Entry 1:
RbCa2HIr | PBE-GGA | relaxed

Final energy = -0.0830 hartree per atom
Crystal system = tetragonal
D(E_F) = 4.0 states/eV/cell

Cell: 5.7245 3.9842 5.7245 Å, 90.00 90.00 90.00°
With the nearest neighbours (Å) after each atom.
Fractional positions:
H (0.0000, 0.5000, 0.0000)  2 Rb 1.99
Ca (0.0000, 0.0000, 0.5000)  2 Rb 2.86
Ca (0.5000, 0.0000, 0.0000)  2 Rb 2.86
Ir (0.5000, 0.5000, 0.5000)  8 Ca 3.49
Rb (0.0000, 0.0000, 0.0000)  2 H 1.99

Entry 2:
Ca2H6IrRh | PBE-GGA | relaxed

Final energy = -0.1690 hartree per atom
Crystal system = tetragonal
D(E_F) = 1.5 states/eV/cell

Cell: 5.1877 5.1877 5.1745 Å, 120.06 120.06 89.97°
With the nearest neighbours (Å) after each atom.
Fractional positions:
Ca (0.7501, 0.2503, 0.4999)  12 H 2.59-2.60
Ca (0.2498, 0.7506, 0.4999)  12 H 2.59-2.60
H (0.7536, 0.7541, 0.9999)  1 Ir 1.81, 1 Rh 1.86
H (0.7538, 0.7543, 0.5074)  1 Ir 1.80, 1 Rh 1.85
H (0.2462, 0.2467, 0.9997)  1 Ir 1.81, 1 Rh 1.86
H (0.7532, 0.2469, 0.9996)  1 Ir 1.81, 1 Rh 1.86
H (0.2460, 0.2465, 0.4922)  1 Ir 1.80, 1 Rh 1.85
H (0.2464, 0.7537, 0.9996)  1 Ir 1.81, 1 Rh 1.86
Ir (0.9999, 0.0004, 0.9998)  6 H 1.80-1.81
Rh (0.4999, 0.5004, 0.9998)  6 H 1.85-1.86

Entry 3:
Ca2SnHIr | PBE-GGA | relaxed

Final energy = -0.1644 hartree per atom
Crystal system = tetragonal
D(E_F) = 1.1 states/eV/cell

Cell: 5.0903 5.0903 3.7185 Å, 90.00 90.00 90.00°
With the nearest neighbours (Å) after each atom.
Fractional positions:
H (0.0000, 0.0000, 0.0000)  2 Ir 1.86
Ca (0.0000, 0.5000, 0.0000)  2 H 2.55
Ca (0.5000, 0.0000, 0.0000)  2 H 2.55
Ir (0.0000, 0.0000, 0.5000)  2 H 1.86
Sn (0.5000, 0.5000, 0.5000)  8 Ca 3.15

Entry 4:
CaTlSnHIr | PBE-GGA | relaxed

Final energy = -0.1529 hartree per atom
Crystal system = monoclinic
Energy above the lowest structure with this stoichiometry = 307.9 meV per atom
D(E_F) = 0.4 states/eV/cell

Cell: 4.3706 5.1148 6.2362 Å, 90.00 110.63 90.00°
With the nearest neighbours (Å) after each atom.
Fractional positions:
Ca (0.8608, 0.5000, 0.6036)  2 H 2.56
Tl (0.2127, 0.0000, 0.3724)  1 H 2.32
Sn (0.5706, 0.5000, 0.0264)  2 Ir 2.53-2.54
H (0.8958, 0.0000, 0.6023)  1 Tl 2.32, 2 Ca 2.56
Ir (0.1820, 0.5000, 0.2471)  2 Sn 2.53-2.54, 2 Tl 2.66

Entry 5:
CaTlSnHIr | PBE-GGA | relaxed

Final energy = -0.1585 hartree per atom
Crystal system = trigonal
Energy above the lowest structure with this stoichiometry = 153.8 meV per atom
D(E_F) = 0.8 states/eV/cell

Cell: 4.5243 4.5243 6.0922 Å, 90.00 90.00 120.00°
With the nearest neighbours (Å) after each atom.
Fractional positions:
Ca (0.6667, 0.3333, 0.0614)  3 H 2.62, 1 Ir 2.91
Tl (0.0000, 0.0000, 0.7274)  3 Ir 2.85, 3 Sn 3.19
Sn (0.3333, 0.6667, 0.4278)  1 H 2.02
H (0.3333, 0.6667, 0.0967)  1 Sn 2.02
Ir (0.6667, 0.3333, 0.5385)  3 Sn 2.70, 3 Tl 2.85, 1 Ca 2.91

Entry 6:
CaTlSnHIr | PBE-GGA | relaxed

Final energy = -0.1550 hartree per atom
Crystal system = monoclinic
Energy above the lowest structure with this stoichiometry = 249.7 meV per atom
D(E_F) = 2.1 states/eV/cell

Cell: 4.8499 3.3926 14.0313 Å, 90.00 110.13 90.00°
With the nearest neighbours (Å) after each atom.
Fractional positions:
Ca (0.2604, 0.0000, 0.5031)  2 H 2.73
Ca (0.2604, 0.5000, 0.0031)  2 H 2.73
Tl (0.0487, 0.0000, 0.7890)  2 Ir 2.77-2.82, 2 Sn 3.06
Tl (0.0487, 0.5000, 0.2890)  2 Ir 2.77-2.82, 2 Sn 3.06
Sn (0.4882, 0.0000, 0.2230)  2 Ir 2.82, 4 Tl 3.06-3.10
Sn (0.4882, 0.5000, 0.7230)  2 Ir 2.82, 4 Tl 3.06-3.10
H (0.8333, 0.0000, 0.0168)  1 Ir 1.65
H (0.8333, 0.5000, 0.5168)  1 Ir 1.65
Ir (0.6476, 0.0000, 0.8940)  1 H 1.65
Ir (0.6476, 0.5000, 0.3940)  1 H 1.65

Entry 7:
CaTlSnHIr | PBE-GGA | relaxed

Final energy = -0.1562 hartree per atom
Crystal system = triclinic
Energy above the lowest structure with this stoichiometry = 216.1 meV per atom
D(E_F) = 2.3 states/eV/cell

Cell: 3.3120 5.0040 7.3537 Å, 107.69 90.12 109.23°
With the nearest neighbours (Å) after each atom.
Fractional positions:
Ca (0.7254, 0.7768, 0.2228)  2 H 2.20
Tl (0.9174, 0.1532, 0.9135)  1 H 2.32
Sn (0.0814, 0.4904, 0.5583)  3 Ir 2.65-2.66
H (0.1720, 0.6719, 0.0140)  2 Ca 2.20, 1 Tl 2.32
Ir (0.3657, 0.0559, 0.5696)  3 Sn 2.65-2.66, 2 Tl 2.93-2.94

Entry 8:
CaTlSnHIr | PBE-GGA | relaxed

Final energy = -0.1606 hartree per atom
Crystal system = trigonal
Energy above the lowest structure with this stoichiometry = 95.9 meV per atom
D(E_F) = 4.3 states/eV/cell

Cell: 4.6819 4.6819 15.9955 Å, 90.00 90.00 120.00°
With the nearest neighbours (Å) after each atom.
Fractional positions:
Ca (0.0000, 0.0000, 0.8256)  3 H 2.75
Ca (0.3333, 0.6667, 0.4923)  3 H 2.75
Ca (0.6667, 0.3333, 0.1589)  3 H 2.75
Tl (0.0000, 0.0000, 0.2630)  3 Ir 2.75, 3 H 2.94
Tl (0.3333, 0.6667, 0.9296)  3 Ir 2.75, 3 H 2.94
Tl (0.6667, 0.3333, 0.5963)  3 Ir 2.75, 3 H 2.94
Sn (0.0000, 0.0000, 0.0362)  3 Ir 2.95, 3 Tl 3.20
Sn (0.3333, 0.6667, 0.7029)  3 Ir 2.95, 3 Tl 3.20
Sn (0.6667, 0.3333, 0.3695)  3 Ir 2.95, 3 Tl 3.20
H (0.0000, 0.0000, 0.5247)  1 Ir 1.66
H (0.3333, 0.6667, 0.1914)  1 Ir 1.66
H (0.6667, 0.3333, 0.8580)  1 Ir 1.66
Ir (0.0000, 0.0000, 0.6284)  1 H 1.66
Ir (0.3333, 0.6667, 0.2950)  1 H 1.66
Ir (0.6667, 0.3333, 0.9617)  1 H 1.66

Entry 9:
CaTlSnHIr | PBE-GGA | relaxed

Final energy = -0.1595 hartree per atom
Crystal system = triclinic
Energy above the lowest structure with this stoichiometry = 126.4 meV per atom
D(E_F) = 1.6 states/eV/cell

Cell: 4.5383 5.3363 5.3963 Å, 70.54 68.02 84.22°
With the nearest neighbours (Å) after each atom.
Fractional positions:
Ca (0.0635, 0.4442, 0.6549)  2 H 2.34-2.35
Tl (0.4328, 0.7748, 0.9893)  2 Ir 2.70-2.72, 2 H 2.87-2.96
Sn (0.7727, 0.0797, 0.3598)  2 Ir 2.64, 1 H 2.69
H (0.5394, 0.3398, 0.7405)  1 Ir 1.67
Ir (0.3722, 0.2477, 0.0912)  1 H 1.67

Entry 10:
CaTlSnHIr | PBE-GGA | relaxed

Final energy = -0.1588 hartree per atom
Crystal system = monoclinic
Energy above the lowest structure with this stoichiometry = 146.7 meV per atom
D(E_F) = 3.4 states/eV/cell

Cell: 4.5642 3.5305 14.6295 Å, 90.00 108.15 90.00°
With the nearest neighbours (Å) after each atom.
Fractional positions:
Ca (0.4440, 0.0000, 0.5572)  2 H 2.42
Ca (0.4440, 0.5000, 0.0572)  2 H 2.42
Tl (0.1768, 0.0000, 0.2892)  1 Ir 2.74, 2 H 2.99
Tl (0.1768, 0.5000, 0.7892)  1 Ir 2.74, 2 H 2.99
Sn (0.7902, 0.0000, 0.9023)  1 Ir 2.64
Sn (0.7902, 0.5000, 0.4023)  1 Ir 2.64
H (0.0021, 0.0000, 0.6158)  2 Ir 1.80
H (0.0021, 0.5000, 0.1158)  2 Ir 1.80
Ir (0.9788, 0.0000, 0.0920)  2 H 1.80
Ir (0.9788, 0.5000, 0.5920)  2 H 1.80

Entry 11:
CaTlSnHIr | PBE-GGA | relaxed

Final energy = -0.1618 hartree per atom
Crystal system = monoclinic
Energy above the lowest structure with this stoichiometry = 64.9 meV per atom
D(E_F) = 1.2 states/eV/cell

Cell: 3.5691 3.5690 7.6997 Å, 90.00 90.07 90.00°
With the nearest neighbours (Å) after each atom.
Fractional positions:
Ca (0.9595, 0.5000, 0.3072)  4 H 2.54-2.55
Tl (0.4578, 0.0000, 0.6293)  1 H 2.81
Sn (0.9582, 0.5000, 0.9004)  4 Ir 2.76
H (0.4600, 0.0000, 0.2645)  1 Ir 1.68
Ir (0.4588, 0.0000, 0.0468)  1 H 1.68

Entry 12:
CaTlSnHIr | PBE-GGA | relaxed

Final energy = -0.1567 hartree per atom
Crystal system = trigonal
Energy above the lowest structure with this stoichiometry = 204.4 meV per atom
D(E_F) = 3.1 states/eV/cell

Cell: 4.4552 4.4552 17.7836 Å, 90.00 90.00 120.00°
With the nearest neighbours (Å) after each atom.
Fractional positions:
Ca (0.0000, 0.0000, 0.9254)  3 H 2.57
Ca (0.3333, 0.6667, 0.5921)  3 H 2.57
Ca (0.6667, 0.3333, 0.2588)  3 H 2.57
Tl (0.0000, 0.0000, 0.7079)  3 Ir 2.89, 3 Sn 3.22
Tl (0.3333, 0.6667, 0.3745)  3 Ir 2.89, 3 Sn 3.22
Tl (0.6667, 0.3333, 0.0412)  3 Ir 2.89, 3 Sn 3.22
Sn (0.0000, 0.0000, 0.1505)  1 H 1.95
Sn (0.3333, 0.6667, 0.8171)  1 H 1.95
Sn (0.6667, 0.3333, 0.4838)  1 H 1.95
H (0.0000, 0.0000, 0.2602)  1 Sn 1.95
H (0.3333, 0.6667, 0.9269)  1 Sn 1.95
H (0.6667, 0.3333, 0.5936)  1 Sn 1.95
Ir (0.0000, 0.0000, 0.4481)  3 Sn 2.65, 3 Tl 2.89
Ir (0.3333, 0.6667, 0.1148)  3 Sn 2.65, 3 Tl 2.89
Ir (0.6667, 0.3333, 0.7814)  3 Sn 2.65, 3 Tl 2.89

> Which value of final energy does entry 11 give?

-0.1618 hartree per atom